Version one
Hf3MnCd | PBE | relaxed

a b c (Å): 5.099 5.099 5.099
angles (deg): 90.00 90.00 90.00
Element x y z (fractional)
Hf: 0.000 0.000 0.500
Hf: 0.000 0.500 0.000
Hf: 0.500 0.000 0.000
Mn: 0.500 0.500 0.500
Cd: 0.000 0.000 0.000

Results
Its crystal system is cubic.

Version two
Hf3MnCd | PBE | relaxed

a b c (Å): 4.811 4.811 4.811
angles (deg): 90.00 90.00 90.00
Element x y z (fractional)
Hf: 0.000 0.000 0.500
Hf: 0.000 0.500 0.000
Hf: 0.500 0.000 0.000
Mn: 0.000 0.000 0.000
Cd: 0.500 0.500 0.500

Results
Its crystal system is cubic.

Bottom line: version two, by a margin of 150.6 kJ/mol of atoms.

Version one
HfMn3Cd | PBE | relaxed

a b c (Å): 4.774 4.774 4.774
angles (deg): 90.00 90.00 90.00
Element x y z (fractional)
Hf: 0.000 0.000 0.000
Mn: 0.000 0.000 0.500
Mn: 0.000 0.500 0.000
Mn: 0.500 0.000 0.000
Cd: 0.500 0.500 0.500

Results
Its crystal system is cubic.

Version two
HfMn3Cd | PBE | relaxed

a b c (Å): 4.826 4.826 4.826
angles (deg): 90.00 90.00 90.00
Element x y z (fractional)
Hf: 0.000 0.000 0.000
Mn: 0.000 0.500 0.500
Mn: 0.500 0.000 0.500
Mn: 0.500 0.500 0.000
Cd: 0.500 0.500 0.500

Results
Its crystal system is cubic.

Bottom line: version one, by a margin of 9.7 kJ/mol of atoms.

Version one
Hf2MnCdMo | PBE | relaxed

a b c (Å): 5.132 5.132 4.588
angles (deg): 90.00 90.00 90.00
Element x y z (fractional)
Hf: 0.000 0.500 0.000
Hf: 0.500 0.000 0.000
Mn: 0.000 0.000 0.500
Cd: 0.000 0.000 0.000
Mo: 0.500 0.500 0.500

Results
Its crystal system is tetragonal.

Version two
Hf2MnCdMo | PBE | relaxed

a b c (Å): 5.102 5.102 4.847
angles (deg): 90.00 90.00 90.00
Element x y z (fractional)
Hf: 0.000 0.500 0.000
Hf: 0.500 0.000 0.000
Mn: 0.000 0.000 0.500
Cd: 0.500 0.500 0.000
Mo: 0.500 0.500 0.500

Results
Its crystal system is tetragonal.

Bottom line: version one, by a margin of 49.1 kJ/mol of atoms.

Version one
HfCdS2N | PBE | relaxed

a b c (Å): 4.847 4.847 4.048
angles (deg): 90.00 90.00 90.00
Element x y z (fractional)
Hf: 0.000 0.000 0.000
Cd: 0.500 0.500 0.500
S: 0.000 0.500 0.500
S: 0.500 0.000 0.500
N: 0.500 0.500 0.000

Results
Its crystal system is tetragonal.

Version two
HfCdS2N | PBE | relaxed

a b c (Å): 5.048 5.048 4.093
angles (deg): 90.00 90.00 90.00
Element x y z (fractional)
Hf: 0.000 0.000 0.000
Cd: 0.500 0.500 0.500
S: 0.000 0.500 0.000
S: 0.500 0.000 0.000
N: 0.000 0.000 0.500

Results
Its crystal system is tetragonal.

Bottom line: version two, by a margin of 115.9 kJ/mol of atoms.

Version one
HfCdSe2N | PBE | relaxed

a b c (Å): 5.141 5.141 4.023
angles (deg): 90.00 90.00 90.00
Element x y z (fractional)
Hf: 0.000 0.000 0.000
Cd: 0.500 0.500 0.500
Se: 0.000 0.500 0.500
Se: 0.500 0.000 0.500
N: 0.500 0.500 0.000

Results
Its crystal system is tetragonal.

Version two
HfCdSe2N | PBE | relaxed

a b c (Å): 5.313 5.313 4.071
angles (deg): 90.00 90.00 90.00
Element x y z (fractional)
Hf: 0.000 0.000 0.000
Cd: 0.500 0.500 0.500
Se: 0.000 0.500 0.000
Se: 0.500 0.000 0.000
N: 0.000 0.000 0.500

Results
Its crystal system is tetragonal.

Bottom line: version two, by a margin of 113.1 kJ/mol of atoms.

Version one
NaHfCd | PBE | relaxed

a b c (Å): 3.246 3.247 16.432
angles (deg): 90.10 90.01 119.97
Element x y z (fractional)
Na: 0.000 0.000 0.000
Na: 0.327 0.656 0.198
Hf: 0.330 0.657 0.674
Hf: 0.664 0.325 0.817
Cd: 0.656 0.321 0.364
Cd: 0.994 0.988 0.519

Results
Its crystal system is triclinic.

Version two
NaHfCd | PBE | relaxed

a b c (Å): 11.184 3.123 8.594
angles (deg): 90.00 106.10 90.00
Element x y z (fractional)
Na: 0.000 0.000 0.000
Na: 0.223 0.500 0.924
Na: 0.500 0.500 0.000
Na: 0.723 0.000 0.924
Hf: 0.055 0.000 0.572
Hf: 0.344 0.000 0.623
Hf: 0.555 0.500 0.572
Hf: 0.844 0.500 0.623
Cd: 0.169 0.500 0.330
Cd: 0.384 0.000 0.272
Cd: 0.669 0.000 0.330
Cd: 0.884 0.500 0.272

Results
Its crystal system is monoclinic.

Version three
NaHfCd | PBE | relaxed

a b c (Å): 7.988 7.280 4.973
angles (deg): 78.91 63.43 37.66
Element x y z (fractional)
Na: 0.250 0.250 0.250
Na: 0.750 0.750 0.750
Hf: 0.179 0.821 0.179
Hf: 0.821 0.179 0.821
Cd: 0.396 0.396 0.604
Cd: 0.604 0.604 0.396

Results
Its crystal system is orthorhombic.

Bottom line: version one, by a margin of 11.3 kJ/mol of atoms.

Version one
NaHfCd | PBE | relaxed

a b c (Å): 3.071 3.071 8.615
angles (deg): 90.00 90.00 120.00
Element x y z (fractional)
Na: 0.000 0.000 0.000
Hf: 0.667 0.333 0.355
Cd: 0.333 0.667 0.663

Results
Its crystal system is trigonal.

Version two
NaHfCd | PBE | relaxed

a b c (Å): 5.647 3.254 16.188
angles (deg): 90.00 90.37 90.00
Element x y z (fractional)
Na: 0.000 0.000 0.000
Na: 0.151 0.500 0.201
Na: 0.500 0.500 0.000
Na: 0.651 0.000 0.201
Hf: 0.323 0.000 0.528
Hf: 0.493 0.500 0.673
Hf: 0.823 0.500 0.528
Hf: 0.993 0.000 0.673
Cd: 0.165 0.500 0.832
Cd: 0.487 0.500 0.369
Cd: 0.665 0.000 0.832
Cd: 0.987 0.000 0.369

Results
Its crystal system is monoclinic.

Version three
NaHfCd | PBE | relaxed

a b c (Å): 3.201 3.201 14.345
angles (deg): 90.00 90.00 90.00
Element x y z (fractional)
Na: 0.250 0.250 0.107
Na: 0.750 0.750 0.893
Hf: 0.250 0.250 0.429
Hf: 0.750 0.750 0.571
Cd: 0.250 0.250 0.730
Cd: 0.750 0.750 0.270

Results
Its crystal system is tetragonal.

Bottom line: version three, by a margin of 4.1 kJ/mol of atoms.

Version one
NaHf3Cd | PBE | relaxed

a b c (Å): 5.297 5.297 5.297
angles (deg): 90.00 90.00 90.00
Element x y z (fractional)
Na: 0.000 0.000 0.000
Hf: 0.000 0.500 0.500
Hf: 0.500 0.000 0.500
Hf: 0.500 0.500 0.000
Cd: 0.500 0.500 0.500

Results
Its crystal system is cubic.

Version two
NaHf3Cd | PBE | relaxed

a b c (Å): 4.966 4.966 4.966
angles (deg): 90.00 90.00 90.00
Element x y z (fractional)
Na: 0.000 0.000 0.000
Hf: 0.000 0.000 0.500
Hf: 0.000 0.500 0.000
Hf: 0.500 0.000 0.000
Cd: 0.500 0.500 0.500

Results
Its crystal system is cubic.

Bottom line: version one, by a margin of 14.2 kJ/mol of atoms.

Version one
HfNbCd2 | PBE | relaxed

a b c (Å): 7.903 7.903 5.583
angles (deg): 90.00 90.00 90.00
Element x y z (fractional)
Hf: 0.000 0.000 0.000
Hf: 0.000 0.500 0.250
Hf: 0.500 0.000 0.750
Hf: 0.500 0.500 0.500
Nb: 0.000 0.000 0.500
Nb: 0.000 0.500 0.750
Nb: 0.500 0.000 0.250
Nb: 0.500 0.500 0.000
Cd: 0.242 0.250 0.625
Cd: 0.250 0.742 0.875
Cd: 0.250 0.758 0.375
Cd: 0.258 0.250 0.125
Cd: 0.742 0.750 0.125
Cd: 0.750 0.242 0.375
Cd: 0.750 0.258 0.875
Cd: 0.758 0.750 0.625

Results
Its crystal system is tetragonal.

Version two
HfNbCd2 | PBE | relaxed

a b c (Å): 6.871 6.871 6.871
angles (deg): 90.00 90.00 90.00
Element x y z (fractional)
Hf: 0.000 0.000 0.000
Hf: 0.000 0.500 0.500
Hf: 0.500 0.000 0.500
Hf: 0.500 0.500 0.000
Nb: 0.000 0.000 0.500
Nb: 0.000 0.500 0.000
Nb: 0.500 0.000 0.000
Nb: 0.500 0.500 0.500
Cd: 0.250 0.250 0.250
Cd: 0.250 0.250 0.750
Cd: 0.250 0.750 0.250
Cd: 0.250 0.750 0.750
Cd: 0.750 0.250 0.250
Cd: 0.750 0.250 0.750
Cd: 0.750 0.750 0.250
Cd: 0.750 0.750 0.750

Results
Its crystal system is cubic.

Bottom line: version two, by a margin of 26.4 kJ/mol of atoms.

Version one
HfTiNbCd | PBE | relaxed

a b c (Å): 3.365 3.365 6.961
angles (deg): 90.00 90.00 90.00
Element x y z (fractional)
Hf: 0.000 0.000 0.000
Ti: 0.000 0.000 0.450
Nb: 0.500 0.500 0.242
Cd: 0.500 0.500 0.710

Results
Its crystal system is tetragonal.

Version two
HfTiNbCd | PBE | relaxed

a b c (Å): 6.749 6.749 6.749
angles (deg): 90.00 90.00 90.00
Element x y z (fractional)
Hf: 0.000 0.000 0.000
Hf: 0.000 0.500 0.500
Hf: 0.500 0.000 0.500
Hf: 0.500 0.500 0.000
Ti: 0.000 0.000 0.500
Ti: 0.000 0.500 0.000
Ti: 0.500 0.000 0.000
Ti: 0.500 0.500 0.500
Nb: 0.250 0.250 0.250
Nb: 0.250 0.750 0.750
Nb: 0.750 0.250 0.750
Nb: 0.750 0.750 0.250
Cd: 0.250 0.250 0.750
Cd: 0.250 0.750 0.250
Cd: 0.750 0.250 0.250
Cd: 0.750 0.750 0.750

Results
Its crystal system is cubic.

Bottom line: version one, by a margin of 11.3 kJ/mol of atoms.

Version one
HfCdNi3 | PBE | relaxed

a b c (Å): 4.550 4.550 4.550
angles (deg): 90.00 90.00 90.00
Element x y z (fractional)
Hf: 0.000 0.000 0.000
Cd: 0.500 0.500 0.500
Ni: 0.000 0.500 0.500
Ni: 0.500 0.000 0.500
Ni: 0.500 0.500 0.000

Results
Its crystal system is cubic.

Version two
HfCdNi3 | PBE | relaxed

a b c (Å): 4.597 4.597 4.597
angles (deg): 90.00 90.00 90.00
Element x y z (fractional)
Hf: 0.000 0.000 0.000
Cd: 0.500 0.500 0.500
Ni: 0.000 0.000 0.500
Ni: 0.000 0.500 0.000
Ni: 0.500 0.000 0.000

Results
Its crystal system is cubic.

Bottom line: version two, by a margin of 13.1 kJ/mol of atoms.

Version one
Hf2CdNi | PBE | relaxed

a b c (Å): 4.132 4.132 19.350
angles (deg): 90.00 90.00 90.00
Element x y z (fractional)
Hf: 0.241 0.250 0.125
Hf: 0.250 0.741 0.375
Hf: 0.250 0.759 0.875
Hf: 0.259 0.250 0.625
Hf: 0.741 0.750 0.625
Hf: 0.750 0.241 0.875
Hf: 0.750 0.259 0.375
Hf: 0.759 0.750 0.125
Cd: 0.000 0.000 0.500
Cd: 0.000 0.500 0.750
Cd: 0.500 0.000 0.250
Cd: 0.500 0.500 0.000
Ni: 0.000 0.000 0.000
Ni: 0.000 0.500 0.250
Ni: 0.500 0.000 0.750
Ni: 0.500 0.500 0.500

Results
Its crystal system is tetragonal.

Version two
Hf2CdNi | PBE | relaxed

a b c (Å): 3.054 3.054 30.620
angles (deg): 90.00 90.00 120.00
Element x y z (fractional)
Hf: 0.000 0.000 0.101
Hf: 0.000 0.000 0.899
Hf: 0.333 0.667 0.566
Hf: 0.333 0.667 0.767
Hf: 0.667 0.333 0.233
Hf: 0.667 0.333 0.434
Cd: 0.000 0.000 0.000
Cd: 0.333 0.667 0.667
Cd: 0.667 0.333 0.333
Ni: 0.000 0.000 0.500
Ni: 0.333 0.667 0.167
Ni: 0.667 0.333 0.833

Results
Its crystal system is trigonal.

Version three
Hf2CdNi | PBE | relaxed

a b c (Å): 3.054 3.054 8.031
angles (deg): 90.00 90.00 90.00
Element x y z (fractional)
Hf: 0.000 0.000 0.211
Hf: 0.000 0.000 0.789
Cd: 0.500 0.500 0.500
Ni: 0.500 0.500 0.000

Results
Its crystal system is tetragonal.

Bottom line: version three, by a margin of 39.2 kJ/mol of atoms.